Pm4ErBi | GGA-PBE | relaxed

Results
Total energy (Ry per atom): -0.32504
Total magnetic moment (μB/f.u.): 0.00
Symmetry: C2/m (12)
ΔH_f (0 K) (eV/f.u.): 0.91

abc: 5.3153 5.3153 7.8624
angles: 90.08 90.08 90.02
Last column: nearest neighbours and their distance in Å.
Sites, in units of the cell vectors:
Pm 0.0006 0.5002 0.7542  2 Er 3.28-3.29, 2 Bi 3.33
Pm 0.5002 0.0006 0.7542  2 Er 3.28-3.29, 2 Bi 3.33
Pm 0.4998 0.9994 0.2458  2 Er 3.28-3.29, 2 Bi 3.33
Pm 0.9994 0.4998 0.2458  2 Er 3.28-3.29, 2 Bi 3.33
Er 0.0000 0.0000 0.0000  8 Pm 3.28-3.29
Bi 0.5000 0.5000 0.5000  8 Pm 3.33

AcAgCO5 | GGA-PBE | relaxed

Results
Total energy (Ry per atom): -0.47785
Total magnetic moment (μB/f.u.): 1.97
Formation energy (no corrections) (meV per atom): -1380
Symmetry: C2/c (15)

abc: 6.0743 6.0743 8.4981
angles: 108.35 108.35 93.07
Last column: nearest neighbours and their distance in Å.
Sites, in units of the cell vectors:
Ac 0.0000 0.5000 0.0000  6 O 2.42-2.57
Ac 0.5000 0.0000 0.5000  6 O 2.42-2.57
Ag 0.0935 0.9065 0.7500  3 O 2.02-2.16
Ag 0.9065 0.0935 0.2500  3 O 2.02-2.16
C 0.4031 0.5969 0.7500  4 O 1.36-1.42
C 0.5969 0.4031 0.2500  4 O 1.36-1.42
O 0.1353 0.8647 0.2500  1 Ag 2.02
O 0.2542 0.6476 0.8512  1 C 1.42
O 0.3524 0.7458 0.6488  1 C 1.42
O 0.3595 0.3650 0.6466  1 C 1.36
O 0.3650 0.3595 0.1466  1 C 1.36
O 0.6350 0.6405 0.8534  1 C 1.36
O 0.6405 0.6350 0.3534  1 C 1.36
O 0.6476 0.2542 0.3512  1 C 1.42
O 0.7458 0.3524 0.1488  1 C 1.42
O 0.8647 0.1353 0.7500  1 Ag 2.02

Zr3NiI | GGA-PBE | relaxed

Results
Total energy (Ry per atom): -0.46533
Total magnetic moment (μB/f.u.): 0.00
Formation energy (no corrections) (meV per atom): 264
Symmetry: Pm-3m (221)
Energy relative to the lowest polymorph listed for this composition (eV per atom): 0.000

abc: 4.9518 4.9518 4.9518
angles: 90.00 90.00 90.00
Last column: nearest neighbours and their distance in Å.
Sites, in units of the cell vectors:
Zr 0.0000 0.0000 0.5000  2 Ni 2.48
Zr 0.0000 0.5000 0.0000  2 Ni 2.48
Zr 0.5000 0.0000 0.0000  2 Ni 2.48
Ni 0.0000 0.0000 0.0000  6 Zr 2.48
I 0.5000 0.5000 0.5000  12 Zr 3.50

Cd3MoOs | GGA-PBE | relaxed

Results
Total energy (Ry per atom): -0.25260
Total magnetic moment (μB/f.u.): 4.64
Symmetry: Pm-3m (221)
Energy relative to the lowest polymorph listed for this composition (eV per atom): 0.000
ΔH_f (0 K) (eV/f.u.): 7.62

abc: 5.1364 5.1364 5.1364
angles: 90.00 90.00 90.00
Last column: nearest neighbours and their distance in Å.
Sites, in units of the cell vectors:
Cd 0.0000 0.0000 0.5000  2 Os 2.57
Cd 0.0000 0.5000 0.0000  2 Os 2.57
Cd 0.5000 0.0000 0.0000  2 Os 2.57
Mo 0.5000 0.5000 0.5000  12 Cd 3.63
Os 0.0000 0.0000 0.0000  6 Cd 2.57